A plane-wave DFT calculation with PBE was carried out for a relaxed BaLa2Hg4 crystal.

Computed properties:
E_tot in eV/atom: -2.205
Symmetry: R-3m, No. 166
Total magnetic moment in μB/f.u.: 0.000

Cell lengths 5.384, 5.384, 10.650 Å; angles 75.36, 75.36, 60.00 degrees
Sites, in units of the cell vectors:
Hg 0.412 0.412 0.763
Ba 0.000 0.000 0.000
Hg 0.890 0.890 0.331
La 0.783 0.783 0.650
Hg 0.110 0.110 0.669
Hg 0.588 0.588 0.237
La 0.217 0.217 0.350